Computed, not measured: a geometry-optimized Nd6GaAg3 structure at the PBE level of DFT.

Cell lengths 5.1783, 9.3943, 11.9344 Å; angles 104.70, 90.00, 90.00 degrees
Last column: nearest neighbours and their distance in Å.
Atoms (fractional coordinates):
Nd 0.2500 0.5077 0.1064  4 Ag 3.13-3.31
Nd 0.7500 0.4923 0.8936  4 Ag 3.13-3.31
Nd 0.2500 0.1180 0.1568  3 Ag 3.29-3.43, 5 Nd 3.34-3.50
Nd 0.7500 0.8820 0.8432  3 Ag 3.29-3.43, 5 Nd 3.34-3.50
Nd 0.2500 0.6604 0.6976  4 Ag 3.01-3.16, 1 Ga 3.07
Nd 0.7500 0.3396 0.3024  4 Ag 3.01-3.16, 1 Ga 3.07
Nd 0.2500 0.2630 0.4908  4 Ag 3.04-3.37, 2 Ga 3.34
Nd 0.7500 0.7370 0.5092  4 Ag 3.04-3.37, 2 Ga 3.34
Nd 0.2500 0.8651 0.3502  3 Ga 3.09-3.14, 3 Ag 3.18-3.40
Nd 0.7500 0.1349 0.6498  3 Ga 3.09-3.14, 3 Ag 3.18-3.40
Nd 0.2500 0.1329 0.8804  3 Ag 2.96-3.14, 1 Ga 3.12
Nd 0.7500 0.8671 0.1196  3 Ag 2.96-3.14, 1 Ga 3.12
Ga 0.2500 0.9491 0.6224  7 Nd 3.07-3.34
Ga 0.7500 0.0509 0.3776  7 Nd 3.07-3.34
Ag 0.2500 0.5351 0.3736  7 Nd 3.13-3.37, 2 Ag 3.26
Ag 0.7500 0.4649 0.6264  7 Nd 3.13-3.37, 2 Ag 3.26
Ag 0.2500 0.3658 0.7537  5 Nd 2.96-3.15, 2 Ag 3.26
Ag 0.7500 0.6342 0.2463  5 Nd 2.96-3.15, 2 Ag 3.26
Ag 0.2500 0.7738 0.9696  7 Nd 3.14-3.43
Ag 0.7500 0.2262 0.0304  7 Nd 3.14-3.43

Values from the calculation:
* energy of formation from the pure elements: -0.225 eV/atom
* space group: No. 11